[1]
Density functional theory data (GGA-PBE) for crystalline K2Tl3Ga at its relaxed geometry.

## Properties
- DOS at the Fermi energy (states/eV/cell) = 4.7
- E_form (meV/atom) = -70
- volume (Å³ per atom) = 35.77
- size of the total moment (μB per formula unit) = 0.00

Cell: 14.922 7.746 7.687 Å, 90.00 104.92 90.00°
Space group C2/c (No. 15)
Inequivalent atoms, fractional coordinates:
K 0.163 0.000 0.081 (multiplicity 8)
Tl 0.000 0.244 0.250 (multiplicity 4)
Tl 0.121 0.500 0.061 (multiplicity 8)
Ga 0.000 0.307 0.750 (multiplicity 4)


[2]
Density functional theory data (GGA-PBE) for crystalline TbTlP2Se6 at its relaxed geometry.

## Properties
- DOS at the Fermi energy (states/eV/cell) = 0.0
- volume (Å³ per atom) = 27.64
- formation energy (no corrections) (eV/atom) = -0.638
- size of the total moment (μB per formula unit) = 0.00

Cell: 6.843 7.647 10.570 Å, 90.00 91.97 90.00°
Space group P2_1 (No. 4)
Inequivalent atoms, fractional coordinates:
Tb 0.215 0.000 0.002 (multiplicity 2)
Tl 0.318 0.218 0.505 (multiplicity 2)
P 0.194 0.729 0.288 (multiplicity 2)
P 0.318 0.511 0.171 (multiplicity 2)
Se 0.066 0.308 0.834 (multiplicity 2)
Se 0.080 0.311 0.166 (multiplicity 2)
Se 0.157 0.634 0.478 (multiplicity 2)
Se 0.371 0.636 0.983 (multiplicity 2)
Se 0.401 0.916 0.749 (multiplicity 2)
Se 0.405 0.942 0.265 (multiplicity 2)


[3]
Density functional theory data (GGA-PBE) for crystalline TaGaP2Cl at its relaxed geometry.

## Properties
- DOS at the Fermi energy (states/eV/cell) = 2.9
- volume (Å³ per atom) = 23.47
- energy relative to the lowest polymorph listed for this composition (kJ per mole of atoms) = 0.0
- formation energy (no corrections) (eV/atom) = -0.022
- size of the total moment (μB per formula unit) = 0.00

Cell: 4.835 4.835 5.021 Å, 90.00 90.00 90.00°
Space group P4/mmm (No. 123)
Inequivalent atoms, fractional coordinates:
Ta 0.000 0.000 0.000 (multiplicity 1)
Ga 0.500 0.500 0.500 (multiplicity 1)
P 0.000 0.500 0.000 (multiplicity 2)
Cl 0.000 0.000 0.500 (multiplicity 1)


[4]
Density functional theory data (GGA-PBE) for crystalline In2IBr at its relaxed geometry.

## Properties
- volume (Å³ per atom) = 34.72
- energy relative to the lowest polymorph listed for this composition (kJ per mole of atoms) = 4.3
- formation energy (no corrections) (eV/atom) = -0.504
- size of the total moment (μB per formula unit) = 0.00

Cell: 4.122 4.122 8.172 Å, 90.00 90.00 90.00°
Space group P4/mmm (No. 123)
Inequivalent atoms, fractional coordinates:
In 0.000 0.000 0.236 (multiplicity 2)
I 0.500 0.500 0.500 (multiplicity 1)
Br 0.500 0.500 0.000 (multiplicity 1)


[5]
Density functional theory data (GGA-PBE) for crystalline La3PrDy2 at its relaxed geometry.

## Properties
- DOS at the Fermi energy (states/eV/cell) = 39.2
- E_form (meV/atom) = 20
- volume (Å³ per atom) = 34.90
- energy relative to the lowest polymorph listed for this composition (kJ per mole of atoms) = 0.0
- size of the total moment (μB per formula unit) = 0.00

Cell: 10.393 7.301 12.202 Å, 90.00 115.20 90.00°
Space group C2/c (No. 15)
Inequivalent atoms, fractional coordinates:
La 0.000 0.126 0.250 (multiplicity 4)
La 0.166 0.125 0.583 (multiplicity 8)
Pr 0.000 0.375 0.750 (multiplicity 4)
Dy 0.166 0.375 0.082 (multiplicity 8)


[6]
Density functional theory data (GGA-PBE) for crystalline Ba3MnAg2Se6 at its relaxed geometry.

## Properties
- DOS at the Fermi energy (states/eV/cell) = 4.4
- volume (Å³ per atom) = 31.66
- formation energy (no corrections) (eV/atom) = -0.912
- size of the total moment (μB per formula unit) = 3.35

Cell: 7.4024 7.4024 8.0051 Å, 90.00 90.00 120.00°
Space group P-3m1 (No. 164)
Inequivalent atoms, fractional coordinates:
Ba 0.0000 0.0000 0.0000 (multiplicity 1)
Ba 0.3333 0.6667 0.6213 (multiplicity 2)
Mn 0.0000 0.0000 0.5000 (multiplicity 1)
Ag 0.3333 0.6667 0.1388 (multiplicity 2)
Se 0.1619 0.3239 0.3122 (multiplicity 6)


[7]
Density functional theory data (GGA-PBE) for crystalline CaRePb2 at its relaxed geometry.

## Properties
- DOS at the Fermi energy (states/eV/cell) = 5.5
- E_form (meV/atom) = 626
- volume (Å³ per atom) = 24.27
- energy relative to the lowest polymorph listed for this composition (kJ per mole of atoms) = 23.9
- size of the total moment (μB per formula unit) = 2.04

Cell: 4.399 4.399 10.032 Å, 90.00 90.00 90.00°
Space group I-4m2 (No. 119)
Inequivalent atoms, fractional coordinates:
Ca 0.000 0.000 0.000 (multiplicity 2)
Re 0.000 0.500 0.250 (multiplicity 2)
Pb 0.000 0.000 0.500 (multiplicity 2)
Pb 0.000 0.500 0.750 (multiplicity 2)


[8]
Density functional theory data (GGA-PBE) for crystalline CePuIrRh at its relaxed geometry.

## Properties
- DOS at the Fermi energy (states/eV/cell) = 20.9
- E_form (meV/atom) = -642
- volume (Å³ per atom) = 21.51
- energy relative to the lowest polymorph listed for this composition (kJ per mole of atoms) = 0.0
- size of the total moment (μB per formula unit) = 5.28

Cell: 4.052 3.866 10.987 Å, 90.00 90.00 90.00°
Space group Amm2 (No. 38)
Inequivalent atoms, fractional coordinates:
Ce 0.000 0.000 0.000 (multiplicity 2)
Pu 0.500 0.000 0.276 (multiplicity 2)
Ir 0.000 0.000 0.736 (multiplicity 2)
Rh 0.500 0.000 0.544 (multiplicity 2)


[9]
Density functional theory data (GGA-PBE) for crystalline TiAl2RhBr at its relaxed geometry.

## Properties
- DOS at the Fermi energy (states/eV/cell) = 7.2
- volume (Å³ per atom) = 21.74
- formation energy (no corrections) (eV/atom) = 1.007
- size of the total moment (μB per formula unit) = 0.00

Cell: 4.860 4.860 4.602 Å, 90.00 90.00 90.00°
Space group P4/mmm (No. 123)
Inequivalent atoms, fractional coordinates:
Ti 0.000 0.000 0.000 (multiplicity 1)
Al 0.000 0.500 0.500 (multiplicity 2)
Rh 0.500 0.500 0.000 (multiplicity 1)
Br 0.500 0.500 0.500 (multiplicity 1)


[10]
Density functional theory data (GGA-PBE) for crystalline Zr2GaOs at its relaxed geometry.

## Properties
- DOS at the Fermi energy (states/eV/cell) = 16.7
- E_form (meV/atom) = 113
- volume (Å³ per atom) = 20.37
- size of the total moment (μB per formula unit) = 0.00

Cell: 7.590 7.590 5.659 Å, 90.00 90.00 90.00°
Space group I-42d (No. 122)
Inequivalent atoms, fractional coordinates:
Zr 0.213 0.250 0.125 (multiplicity 8)
Ga 0.000 0.000 0.500 (multiplicity 4)
Os 0.000 0.000 0.000 (multiplicity 4)


[11]
Density functional theory data (GGA-PBE) for crystalline TlMoPb at its relaxed geometry.

## Properties
- DOS at the Fermi energy (states/eV/cell) = 6.3
- E_form (meV/atom) = 718
- volume (Å³ per atom) = 25.31
- energy relative to the lowest polymorph listed for this composition (kJ per mole of atoms) = 1.9
- size of the total moment (μB per formula unit) = 0.00

Cell: 3.011 3.011 16.748 Å, 90.00 90.00 90.00°
Space group I4mm (No. 107)
Inequivalent atoms, fractional coordinates:
Tl 0.000 0.000 0.000 (multiplicity 2)
Mo 0.000 0.000 0.640 (multiplicity 2)
Pb 0.000 0.000 0.277 (multiplicity 2)


[12]
Density functional theory data (GGA-PBE) for crystalline Tm8ZnPb5 at its relaxed geometry.

## Properties
- DOS at the Fermi energy (states/eV/cell) = 20.1
- E_form (meV/atom) = -400
- volume (Å³ per atom) = 27.95
- size of the total moment (μB per formula unit) = 0.00

Cell: 9.182 9.182 9.284 Å, 90.00 90.00 90.00°
Space group I-4 (No. 82)
Inequivalent atoms, fractional coordinates:
Tm 0.068 0.188 0.199 (multiplicity 8)
Tm 0.074 0.323 0.549 (multiplicity 8)
Zn 0.000 0.500 0.250 (multiplicity 2)
Pb 0.000 0.000 0.500 (multiplicity 2)
Pb 0.122 0.251 0.874 (multiplicity 8)


[13]
Density functional theory data (GGA-PBE) for crystalline Co2PRh at its relaxed geometry.

## Properties
- DOS at the Fermi energy (states/eV/cell) = 9.1
- E_form (meV/atom) = -34
- volume (Å³ per atom) = 11.73
- size of the total moment (μB per formula unit) = 1.31

Cell: 4.896 7.021 2.729 Å, 90.00 90.00 90.00°
Space group Cmmm (No. 65)
Inequivalent atoms, fractional coordinates:
Co 0.250 0.250 0.000 (multiplicity 4)
P 0.000 0.000 0.500 (multiplicity 2)
Rh 0.000 0.500 0.500 (multiplicity 2)


[14]
Density functional theory data (GGA-PBE) for crystalline Co3Pd4Pt2 at its relaxed geometry.

## Properties
- DOS at the Fermi energy (states/eV/cell) = 23.2
- E_form (meV/atom) = 124
- volume (Å³ per atom) = 14.74
- size of the total moment (μB per formula unit) = 7.89

Cell: 2.735 8.891 10.911 Å, 90.00 90.00 90.00°
Space group Immm (No. 71)
Inequivalent atoms, fractional coordinates:
Co 0.000 0.000 0.000 (multiplicity 2)
Co 0.000 0.000 0.403 (multiplicity 4)
Pd 0.000 0.258 0.128 (multiplicity 8)
Pt 0.000 0.500 0.300 (multiplicity 4)


[15]
Density functional theory data (GGA-PBE) for crystalline LuMgScGa at its relaxed geometry.

## Properties
- DOS at the Fermi energy (states/eV/cell) = 10.8
- E_form (meV/atom) = -316
- volume (Å³ per atom) = 21.63
- size of the total moment (μB per formula unit) = 0.00

Cell: 7.021 7.021 7.021 Å, 90.00 90.00 90.00°
Space group F-43m (No. 216)
Inequivalent atoms, fractional coordinates:
Lu 0.000 0.000 0.000 (multiplicity 4)
Mg 0.250 0.250 0.750 (multiplicity 4)
Sc 0.000 0.000 0.500 (multiplicity 4)
Ga 0.250 0.250 0.250 (multiplicity 4)


[16]
Density functional theory data (GGA-PBE) for crystalline LaTaCr2 at its relaxed geometry.

## Properties
- DOS at the Fermi energy (states/eV/cell) = 3.0
- E_form (meV/atom) = 395
- volume (Å³ per atom) = 18.51
- energy relative to the lowest polymorph listed for this composition (kJ per mole of atoms) = 0.0
- size of the total moment (μB per formula unit) = 0.59

Cell: 3.020 3.020 8.115 Å, 90.00 90.00 90.00°
Space group P4mm (No. 99)
Inequivalent atoms, fractional coordinates:
La 0.000 0.000 0.000 (multiplicity 1)
Ta 0.500 0.500 0.338 (multiplicity 1)
Cr 0.000 0.000 0.548 (multiplicity 1)
Cr 0.500 0.500 0.698 (multiplicity 1)


[17]
Density functional theory data (GGA-PBE) for crystalline GaCu3Ge at its relaxed geometry.

## Properties
- DOS at the Fermi energy (states/eV/cell) = 2.7
- E_form (meV/atom) = -16
- volume (Å³ per atom) = 14.33
- energy relative to the lowest polymorph listed for this composition (kJ per mole of atoms) = 0.0
- size of the total moment (μB per formula unit) = 0.00

Cell: 4.077 5.095 6.897 Å, 90.00 90.00 90.00°
Space group Pmmn (No. 59, origin choice 2)
Inequivalent atoms, fractional coordinates:
Ga 0.250 0.250 0.128 (multiplicity 2)
Cu 0.250 0.005 0.746 (multiplicity 4)
Cu 0.250 0.750 0.082 (multiplicity 2)
Ge 0.250 0.750 0.435 (multiplicity 2)


[18]
Density functional theory data (GGA-PBE) for crystalline Zr5Tc3 at its relaxed geometry.

## Properties
- DOS at the Fermi energy (states/eV/cell) = 31.7
- E_form (meV/atom) = -138
- volume (Å³ per atom) = 19.54
- energy relative to the lowest polymorph listed for this composition (kJ per mole of atoms) = 15.0
- size of the total moment (μB per formula unit) = 0.00

Cell: 11.832 10.926 5.307 Å, 90.00 114.32 90.00°
Space group C2/c (No. 15)
Inequivalent atoms, fractional coordinates:
Zr 0.000 0.019 0.250 (multiplicity 4)
Zr 0.079 0.281 0.576 (multiplicity 8)
Zr 0.223 0.421 0.201 (multiplicity 8)
Tc 0.000 0.499 0.250 (multiplicity 4)
Tc 0.175 0.175 0.206 (multiplicity 8)


[19]
Density functional theory data (GGA-PBE) for crystalline CsYRe2O8 at its relaxed geometry.

## Properties
- DOS at the Fermi energy (states/eV/cell) = 6.3
- volume (Å³ per atom) = 22.47
- formation energy (no corrections) (eV/atom) = -2.020
- size of the total moment (μB per formula unit) = 1.99

Cell: 6.0757 6.0757 8.4348 Å, 90.00 90.00 120.00°
Space group P-3m1 (No. 164)
Inequivalent atoms, fractional coordinates:
Cs 0.0000 0.0000 0.0000 (multiplicity 1)
Y 0.0000 0.0000 0.5000 (multiplicity 1)
Re 0.3333 0.6667 0.7335 (multiplicity 2)
O 0.1716 0.3432 0.6610 (multiplicity 6)
O 0.3333 0.6667 0.9429 (multiplicity 2)


[20]
Density functional theory data (GGA-PBE) for crystalline BaCaCo2 at its relaxed geometry.

## Properties
- DOS at the Fermi energy (states/eV/cell) = 21.2
- E_form (meV/atom) = 855
- volume (Å³ per atom) = 26.27
- energy relative to the lowest polymorph listed for this composition (kJ per mole of atoms) = 69.5
- size of the total moment (μB per formula unit) = 2.30

Cell: 3.8073 3.8073 25.1081 Å, 90.00 90.00 120.00°
Space group R-3m (No. 166, hexagonal axes)
Inequivalent atoms, fractional coordinates:
Ba 0.0000 0.0000 0.0000 (multiplicity 3)
Ca 0.0000 0.0000 0.5000 (multiplicity 3)
Co 0.0000 0.0000 0.2456 (multiplicity 6)